1.
Entry from the Alexandria database: an optimized crystal structure of SmZrPb2 (PBE-GGA).

Cell lengths 3.9862, 3.9862, 6.7388 Å; angles 90.00, 90.00, 90.00 degrees
Space group P4/mmm (No. 123)
Symmetry-distinct sites (fractional):
1 Sm 0.0000 0.0000 0.0000
2 Zr 0.0000 0.0000 0.5000
3 Pb 0.5000 0.5000 0.2703

Properties
The formation energy is -97.7 kJ/mol of formula units. As for the crystal system: tetragonal. The density of states at the Fermi level comes out at 3.3 states/eV per cell. The magnetization is 0.0 Bohr magnetons per cell.


2.
Entry from the Alexandria database: an optimized crystal structure of SmZrPb (PBE-GGA).

Cell lengths 3.9782, 3.9782, 10.0814 Å; angles 90.00, 90.00, 90.00 degrees
Space group I4mm (No. 107)
Symmetry-distinct sites (fractional):
1 Sm 0.0000 0.0000 0.0000
2 Zr 0.0000 0.0000 0.6839
3 Pb 0.0000 0.0000 0.3270

Properties
The formation energy is -41.7 kJ/mol of formula units. As for the crystal system: tetragonal. The energy relative to the lowest polymorph listed for this composition is 252 meV/atom. The density of states at the Fermi level comes out at 8.3 states/eV per cell. The magnetization is 0.0 Bohr magnetons per cell.


3.
Entry from the Alexandria database: an optimized crystal structure of SmZrPb (PBE-GGA).

Cell lengths 4.4439, 4.4439, 8.5077 Å; angles 90.00, 90.00, 90.00 degrees
Space group P4/nmm (No. 129, origin choice 2)
Symmetry-distinct sites (fractional):
1 Sm 0.2500 0.2500 0.1606
2 Zr 0.2500 0.7500 0.5000
3 Pb 0.2500 0.2500 0.7663

Properties
The formation energy is -114.6 kJ/mol of formula units. As for the crystal system: tetragonal. The energy relative to the lowest polymorph listed for this composition is 0 meV/atom. The density of states at the Fermi level comes out at 5.7 states/eV per cell. The magnetization is 0.0 Bohr magnetons per cell.


4.
Entry from the Alexandria database: an optimized crystal structure of SmZrPb2 (PBE-GGA).

Cell lengths 4.8512, 4.8512, 4.5002 Å; angles 90.00, 90.00, 90.00 degrees
Space group P4/mmm (No. 123)
Symmetry-distinct sites (fractional):
1 Sm 0.0000 0.0000 0.0000
2 Zr 0.5000 0.5000 0.0000
3 Pb 0.0000 0.5000 0.5000

Properties
The formation energy is -92.6 kJ/mol of formula units. As for the crystal system: tetragonal. The density of states at the Fermi level comes out at 3.8 states/eV per cell. The magnetization is 0.0 Bohr magnetons per cell.


5.
Entry from the Alexandria database: an optimized crystal structure of SmZrPb2 (PBE-GGA).

Cell lengths 4.8783, 4.8783, 16.3824 Å; angles 90.00, 90.00, 120.00 degrees
Space group R-3m (No. 166, hexagonal axes)
Symmetry-distinct sites (fractional):
1 Sm 0.0000 0.0000 0.0000
2 Zr 0.0000 0.0000 0.5000
3 Pb 0.0000 0.0000 0.2409

Properties
The formation energy is -95.0 kJ/mol of formula units. As for the crystal system: trigonal. The density of states at the Fermi level comes out at 9.2 states/eV per cell. The magnetization is 0.0 Bohr magnetons per cell.


6.
Entry from the Alexandria database: an optimized crystal structure of SnPb4 (PBE-GGA).

Cell lengths 3.5106, 3.5106, 43.2888 Å; angles 90.00, 90.00, 120.00 degrees
Space group R-3m (No. 166, hexagonal axes)
Symmetry-distinct sites (fractional):
1 Sn 0.0000 0.0000 0.0000
2 Pb 0.0000 0.0000 0.2003
3 Pb 0.0000 0.0000 0.3978

Properties
The formation energy is 12.2 kJ/mol of formula units. As for the crystal system: trigonal. The energy relative to the lowest polymorph listed for this composition is 0 meV/atom. The density of states at the Fermi level comes out at 8.1 states/eV per cell. The magnetization is 0.0 Bohr magnetons per cell.


7.
Entry from the Alexandria database: an optimized crystal structure of Sn4Pb (PBE-GGA).

Cell lengths 5.7850, 5.7850, 5.7850 Å; angles 90.00, 90.00, 90.00 degrees
Space group Pm-3m (No. 221)
Symmetry-distinct sites (fractional):
1 Sn 0.0000 0.0000 0.0000
2 Sn 0.0000 0.5000 0.5000
3 Pb 0.5000 0.5000 0.5000

Properties
The formation energy is 369.5 kJ/mol of formula units. As for the crystal system: cubic. The energy relative to the lowest polymorph listed for this composition is 696 meV/atom. The density of states at the Fermi level comes out at 4.8 states/eV per cell. The magnetization is 0.0 Bohr magnetons per cell.


8.
Entry from the Alexandria database: an optimized crystal structure of SnPb8 (PBE-GGA).

Cell lengths 12.6273, 12.6273, 3.5223 Å; angles 90.00, 90.00, 90.00 degrees
Space group I4/mmm (No. 139)
Symmetry-distinct sites (fractional):
1 Sn 0.0000 0.0000 0.0000
2 Pb 0.0000 0.3342 0.0000
3 Pb 0.1621 0.1621 0.5000

Properties
The formation energy is 34.9 kJ/mol of formula units. As for the crystal system: tetragonal. The energy relative to the lowest polymorph listed for this composition is 30 meV/atom. The density of states at the Fermi level comes out at 12.8 states/eV per cell. The magnetization is 0.0 Bohr magnetons per cell.


9.
Entry from the Alexandria database: an optimized crystal structure of Sn3Pb13 (PBE-GGA).

Cell lengths 7.1392, 11.7680, 11.7681 Å; angles 90.00, 90.00, 90.00 degrees
Space group Amm2 (No. 38)
Symmetry-distinct sites (fractional):
1 Sn 0.0000 0.0000 0.0000
2 Sn 0.2338 0.0000 0.2444
3 Pb 0.0000 0.0000 0.4963
4 Pb 0.0000 0.2488 0.2473
5 Pb 0.2446 0.2472 0.9970
6 Pb 0.2518 0.0000 0.7505
7 Pb 0.5000 0.0000 0.0072
8 Pb 0.5000 0.0000 0.4872
9 Pb 0.5000 0.2401 0.2474

Properties
The formation energy is 60.8 kJ/mol of formula units. As for the crystal system: orthorhombic. The density of states at the Fermi level comes out at 16.6 states/eV per cell. The magnetization is 0.0 Bohr magnetons per cell.


10.
Entry from the Alexandria database: an optimized crystal structure of SnPb8 (PBE-GGA).

Cell lengths 10.4610, 10.4610, 5.1225 Å; angles 90.00, 90.00, 90.00 degrees
Space group I4/mmm (No. 139)
Symmetry-distinct sites (fractional):
1 Sn 0.0000 0.0000 0.0000
2 Pb 0.0000 0.3302 0.0000
3 Pb 0.1647 0.1647 0.5000

Properties
The formation energy is 9.1 kJ/mol of formula units. As for the crystal system: tetragonal. The energy relative to the lowest polymorph listed for this composition is 0 meV/atom. The density of states at the Fermi level comes out at 8.8 states/eV per cell. The magnetization is 0.0 Bohr magnetons per cell.


11.
Entry from the Alexandria database: an optimized crystal structure of Sn4Pb3 (PBE-GGA).

Cell lengths 3.4719, 3.8973, 15.3721 Å; angles 96.91, 95.86, 90.40 degrees
Space group P-1 (No. 2)
Symmetry-distinct sites (fractional):
1 Sn 0.0751 0.0731 0.1474
2 Sn 0.3659 0.3635 0.7250
3 Pb 0.2152 0.2108 0.4213
4 Pb 0.5000 0.5000 0.0000

Properties
The formation energy is 30.9 kJ/mol of formula units. As for the crystal system: triclinic. The density of states at the Fermi level comes out at 3.1 states/eV per cell. The magnetization is 0.0 Bohr magnetons per cell.


12.
Entry from the Alexandria database: an optimized crystal structure of SnPb5 (PBE-GGA).

Cell lengths 5.2732, 15.0932, 4.6750 Å; angles 90.00, 90.00, 90.00 degrees
Space group Cmmm (No. 65)
Symmetry-distinct sites (fractional):
1 Sn 0.0000 0.0000 0.0000
2 Pb 0.0000 0.1626 0.5000
3 Pb 0.0000 0.3332 0.0000
4 Pb 0.0000 0.5000 0.5000

Properties
The formation energy is 14.3 kJ/mol of formula units. As for the crystal system: orthorhombic. The energy relative to the lowest polymorph listed for this composition is 0 meV/atom. The density of states at the Fermi level comes out at 7.4 states/eV per cell. The magnetization is 0.0 Bohr magnetons per cell.


Please write out number 6 again, unchanged.
Entry from the Alexandria database: an optimized crystal structure of SnPb4 (PBE-GGA).

Cell lengths 3.5106, 3.5106, 43.2888 Å; angles 90.00, 90.00, 120.00 degrees
Space group R-3m (No. 166, hexagonal axes)
Symmetry-distinct sites (fractional):
1 Sn 0.0000 0.0000 0.0000
2 Pb 0.0000 0.0000 0.2003
3 Pb 0.0000 0.0000 0.3978

Properties
The formation energy is 12.2 kJ/mol of formula units. As for the crystal system: trigonal. The energy relative to the lowest polymorph listed for this composition is 0 meV/atom. The density of states at the Fermi level comes out at 8.1 states/eV per cell. The magnetization is 0.0 Bohr magnetons per cell.


What did the seventh record say?
Entry from the Alexandria database: an optimized crystal structure of Sn4Pb (PBE-GGA).

Cell lengths 5.7850, 5.7850, 5.7850 Å; angles 90.00, 90.00, 90.00 degrees
Space group Pm-3m (No. 221)
Symmetry-distinct sites (fractional):
1 Sn 0.0000 0.0000 0.0000
2 Sn 0.0000 0.5000 0.5000
3 Pb 0.5000 0.5000 0.5000

Properties
The formation energy is 369.5 kJ/mol of formula units. As for the crystal system: cubic. The energy relative to the lowest polymorph listed for this composition is 696 meV/atom. The density of states at the Fermi level comes out at 4.8 states/eV per cell. The magnetization is 0.0 Bohr magnetons per cell.